Here is LaNiW after structural relaxation from the Alexandria database. Energies are from GGA-PBE.

a b c (Å): 4.547 4.547 4.547
angles (deg): 60.00 60.00 60.00
Sites, in units of the cell vectors:
La 0.500 0.500 0.500
Ni 0.750 0.750 0.750
W 0.000 0.000 0.000

Output
The value obtained for the energy above the most stable polymorph in this dataset is 55.3 kJ per mole of atoms. The symmetry is F-43m.